Record 1
A plane-wave DFT calculation with PBE-GGA was carried out for an optimized crystal structure of PrNd3.

Properties
Calculated volume (Å³/cell): 141.9
SG: Pm-3m
Calculated formation energy (meV/atom): 12
DOS at the Fermi energy (states/eV/f.u.): 6.81

a = 5.2156 Å, b = 5.2156 Å, c = 5.2156 Å
α = 90.00°, β = 90.00°, γ = 90.00°
Closest atoms and distances in Å follow each position.
Fractional positions:
Pr1 0.0000 0.0000 0.0000  12 Nd 3.69
Nd1 0.0000 0.5000 0.5000  4 Pr 3.69, 8 Nd 3.69
Nd2 0.5000 0.0000 0.5000  4 Pr 3.69, 8 Nd 3.69
Nd3 0.5000 0.5000 0.0000  4 Pr 3.69, 8 Nd 3.69

Record 2
A plane-wave DFT calculation with PBE-GGA was carried out for an optimized crystal structure of LiCrAg2Bi.

Properties
Calculated volume (Å³/cell): 150.1
SG: P4/mmm
Calculated formation energy (meV/atom): 770
DOS at the Fermi energy (states/eV/f.u.): 1.94

a = 5.4103 Å, b = 5.4103 Å, c = 5.1281 Å
α = 90.00°, β = 90.00°, γ = 90.00°
Closest atoms and distances in Å follow each position.
Fractional positions:
Li1 0.0000 0.0000 0.0000  2 Bi 2.56
Cr1 0.5000 0.5000 0.0000  8 Ag 3.73, 4 Li 3.83
Ag1 0.0000 0.5000 0.5000  2 Bi 2.71
Ag2 0.5000 0.0000 0.5000  2 Bi 2.71
Bi1 0.0000 0.0000 0.5000  2 Li 2.56, 4 Ag 2.71

Record 3
A plane-wave DFT calculation with PBE-GGA was carried out for an optimized crystal structure of Tb2Ga4Pt3.

Properties
Calculated volume (Å³/cell): 169.4
SG: Fmmm
Calculated formation energy (meV/atom): -798
DOS at the Fermi energy (states/eV/f.u.): 4.06

a = 8.0245 Å, b = 6.9874 Å, c = 5.5334 Å
α = 78.78°, β = 58.66°, γ = 42.56°
Closest atoms and distances in Å follow each position.
Fractional positions:
Tb1 0.1273 0.1273 0.8727  8 Ga 3.10-3.23, 6 Pt 3.19-3.21, 1 Tb 3.27
Tb2 0.8727 0.8727 0.1273  8 Ga 3.10-3.23, 6 Pt 3.19-3.21, 1 Tb 3.27
Ga1 0.1644 0.5019 0.4981  1 Ga 2.65, 3 Pt 2.66-2.69
Ga2 0.4981 0.8356 0.1644  1 Ga 2.65, 3 Pt 2.66-2.69
Ga3 0.5019 0.1644 0.8356  1 Ga 2.65, 3 Pt 2.66-2.69
Ga4 0.8356 0.4981 0.5019  1 Ga 2.65, 3 Pt 2.66-2.69
Pt1 0.0000 0.0000 0.5000  4 Ga 2.66, 4 Pt 2.74-2.77
Pt2 0.5000 0.5000 0.0000  4 Ga 2.66, 4 Pt 2.74-2.77
Pt3 0.5000 0.5000 0.5000  4 Ga 2.69, 4 Pt 2.77

Record 4
A plane-wave DFT calculation with PBE-GGA was carried out for an optimized crystal structure of LaAg2Sn.

Properties
Calculated volume (Å³/cell): 222.6
SG: I-42d
Calculated formation energy (meV/atom): -134
DOS at the Fermi energy (states/eV/f.u.): 1.60

a = 10.4033 Å, b = 10.4033 Å, c = 10.4033 Å
α = 153.58°, β = 153.58°, γ = 37.71°
Closest atoms and distances in Å follow each position.
Fractional positions:
La1 0.0000 0.0000 0.0000  4 Ag 3.18, 4 Sn 3.36
La2 0.7500 0.2500 0.5000  4 Ag 3.18, 4 Sn 3.36
Ag1 0.2153 0.6250 0.0903  2 Ag 2.82, 2 Sn 2.84
Ag2 0.3750 0.4653 0.5903  2 Ag 2.82, 2 Sn 2.84
Ag3 0.5347 0.1250 0.9097  2 Ag 2.82, 2 Sn 2.84
Ag4 0.8750 0.7847 0.4097  2 Ag 2.82, 2 Sn 2.84
Sn1 0.2500 0.7500 0.5000  4 Ag 2.84
Sn2 0.5000 0.5000 0.0000  4 Ag 2.84

Record 5
A plane-wave DFT calculation with PBE-GGA was carried out for an optimized crystal structure of P2IrAu.

Properties
Calculated volume (Å³/cell): 65.6
SG: P4mm
Calculated formation energy (meV/atom): 227
DOS at the Fermi energy (states/eV/f.u.): 1.34

a = 2.8717 Å, b = 2.8717 Å, c = 7.9592 Å
α = 90.00°, β = 90.00°, γ = 90.00°
Closest atoms and distances in Å follow each position.
Fractional positions:
P1 0.0000 0.0000 0.0000  4 Ir 2.40
P2 0.5000 0.5000 0.3153  4 Au 2.77, 4 P 2.87
Ir1 0.5000 0.5000 0.8399  4 P 2.40
Au1 0.0000 0.0000 0.5522  4 P 2.77, 4 Au 2.87, 4 Ir 3.06

Record 6
A plane-wave DFT calculation with PBE-GGA was carried out for an optimized crystal structure of Y2RhW.

Properties
Calculated volume (Å³/cell): 85.2
SG: Pmm2
Calculated formation energy (meV/atom): 326
DOS at the Fermi energy (states/eV/f.u.): 5.11

a = 3.1132 Å, b = 4.6317 Å, c = 5.9093 Å
α = 90.00°, β = 90.00°, γ = 90.00°
Closest atoms and distances in Å follow each position.
Fractional positions:
Y1 0.0000 0.0000 0.0000  1 Rh 2.72, 4 W 3.00
Y2 0.5000 0.5000 0.3363  2 W 2.81-3.10, 4 Rh 3.04, 2 Y 3.11
Rh1 0.0000 0.0000 0.5396  5 Y 2.72-3.04
W1 0.5000 0.5000 0.8115  6 Y 2.81-3.10, 2 W 3.11

Record 7
A plane-wave DFT calculation with PBE-GGA was carried out for an optimized crystal structure of Rb3Yb.

Properties
Calculated volume (Å³/cell): 298.5
SG: I4/mmm
Calculated formation energy (meV/atom): 171
DOS at the Fermi energy (states/eV/f.u.): 20.75

a = 7.5416 Å, b = 7.5416 Å, c = 7.5416 Å
α = 121.01°, β = 121.01°, γ = 88.25°
Closest atoms and distances in Å follow each position.
Fractional positions:
Rb1 0.0000 0.0000 0.0000  8 Rb 4.59
Rb2 0.2500 0.7500 0.5000  4 Rb 4.59, 4 Yb 4.59
Rb3 0.7500 0.2500 0.5000  4 Rb 4.59, 4 Yb 4.59
Yb1 0.5000 0.5000 0.0000  8 Rb 4.59

Record 8
A plane-wave DFT calculation with PBE-GGA was carried out for an optimized crystal structure of BeZn2HgI.

Properties
Calculated volume (Å³/cell): 116.4
SG: P4/mmm
E_form (uncorrected) (eV/atom): 0.25
DOS at the Fermi energy (states/eV/f.u.): 2.50

a = 4.8647 Å, b = 4.8647 Å, c = 4.9196 Å
α = 90.00°, β = 90.00°, γ = 90.00°
Closest atoms and distances in Å follow each position.
Fractional positions:
Be1 0.0000 0.0000 0.0000  4 Zn 2.43, 2 Hg 2.46
Zn1 0.0000 0.5000 0.0000  2 Be 2.43
Zn2 0.5000 0.0000 0.0000  2 Be 2.43
Hg1 0.0000 0.0000 0.5000  2 Be 2.46
I1 0.5000 0.5000 0.5000  4 Hg 3.44, 8 Zn 3.46

Record 9
A plane-wave DFT calculation with PBE-GGA was carried out for an optimized crystal structure of UGaN2.

Properties
Calculated volume (Å³/cell): 71.6
SG: R-3m
E_form (uncorrected) (eV/atom): -0.71
DOS at the Fermi energy (states/eV/f.u.): 2.29

a = 7.0378 Å, b = 7.0378 Å, c = 7.0378 Å
α = 28.81°, β = 28.81°, γ = 28.81°
Closest atoms and distances in Å follow each position.
Fractional positions:
U1 0.0000 0.0000 0.0000  6 N 2.21
Ga1 0.5000 0.5000 0.5000  2 N 2.48
N1 0.3775 0.3775 0.3775  3 U 2.21
N2 0.6225 0.6225 0.6225  3 U 2.21

Record 10
A plane-wave DFT calculation with PBE-GGA was carried out for an optimized crystal structure of ZrInIr2.

Properties
Calculated volume (Å³/cell): 71.5
SG: R3m
Calculated formation energy (meV/atom): 103
DOS at the Fermi energy (states/eV/f.u.): 5.67

a = 9.5766 Å, b = 9.5766 Å, c = 9.5766 Å
α = 17.79°, β = 17.79°, γ = 17.79°
Closest atoms and distances in Å follow each position.
Fractional positions:
Zr1 0.0000 0.0000 0.0000  3 Ir 2.89, 6 Zr 2.96, 3 In 3.20
In1 0.2377 0.2377 0.2377  3 Ir 2.81, 6 In 2.96
Ir1 0.4924 0.4924 0.4924  9 Ir 2.75-2.96, 3 In 2.81
Ir2 0.7493 0.7493 0.7493  9 Ir 2.75-2.96, 3 Zr 2.89